Computed, not measured: BaCoMo2O8 after structural relaxation at the PBE+U level of DFT.

Cell and atoms, written as CIF:
```
data_BaCoMo2O8
_chemical_formula_sum 'Ba1 Co1 Mo2 O8'
_space_group_name_H-M_alt 'P -3'
_space_group_IT_number 147
_cell_length_a 5.8076
_cell_length_b 5.8076
_cell_length_c 7.1701
_cell_angle_alpha 90.00
_cell_angle_beta 90.00
_cell_angle_gamma 120.00
loop_
_space_group_symop_operation_xyz
'x,y,z'
'-x,-y,-z'
'-y,x-y,z'
'y,-x+y,-z'
'-x+y,-x,z'
'x-y,x,-z'
loop_
_atom_site_label
_atom_site_type_symbol
_atom_site_fract_x
_atom_site_fract_y
_atom_site_fract_z
_atom_site_occupancy
Ba1 Ba 0.0000 0.0000 0.0000 1
Co1 Co 0.0000 0.0000 0.5000 1
Mo1 Mo 0.3333 0.6667 0.7488 1
O1 O 0.1595 0.3232 0.6764 1
O2 O 0.3333 0.6667 0.9970 1
```

Summary:
Electronic total energy   -82.32 eV for the cell shown
ρ   4.1 g/cm3